(1)
The following is a DFT calculation (PBE) of crystalline Pm2Tm8Sc at its relaxed geometry.

Structure (POSCAR):
```
Pm2Tm8Sc
1.0
4.9357 0.0000 0.0000
0.0000 7.8152 0.4338
-2.4679 -2.8141 8.4729
Pm Tm Sc
2 8 1
Cartesian
2.4679 1.2962 4.7964
0.0000 3.7049 4.1104
2.4679 4.3785 6.5693
2.4679 3.0140 1.7022
2.4679 6.0892 3.4423
0.0000 -1.0881 5.4644
2.4679 -0.4547 7.8431
0.0000 5.4558 1.0636
0.0000 0.6226 2.3375
0.0000 1.9871 7.2046
2.4679 0.0000 0.0000
```

Values from the calculation:
V   332.9 Å³/cell
Final energy   -0.3422 Ry per atom
Distance to the lowest polymorph of the same formula   0 meV per atom
Magnetic moment   0.00 μB per atom
Energy of formation   35 meV/atom

---

(2)
The following is a DFT calculation (PBE) of crystalline Ga2GeBi2 at its relaxed geometry.

Structure (POSCAR):
```
Ga2GeBi2
1.0
8.6673 0.0000 0.0000
0.0000 8.6673 0.0000
0.0000 0.0000 3.5060
Ge Ga Bi
2 4 4
Cartesian
4.3336 4.3336 0.0000
0.0000 0.0000 0.0000
7.6551 3.3214 1.7530
3.3214 1.0122 1.7530
1.0122 5.3458 1.7530
5.3458 7.6551 1.7530
5.9102 1.5766 0.0000
2.7571 7.0907 0.0000
7.0907 5.9102 0.0000
1.5766 2.7571 0.0000
```

Values from the calculation:
V   263.4 Å³/cell
Final energy   -0.2537 Ry per atom
Distance to the lowest polymorph of the same formula   81 meV per atom
Magnetic moment   0.00 μB per atom
Energy of formation   234 meV/atom

---

(3)
The following is a DFT calculation (PBE) of crystalline LiPSe2Br at its relaxed geometry.

Structure (POSCAR):
```
LiPSe2Br
1.0
4.7624 0.0000 0.0000
0.0000 4.7624 0.0000
0.0000 0.0000 4.6378
Br Se P Li
1 2 1 1
Cartesian
0.0000 0.0000 2.3189
2.3812 0.0000 0.0000
0.0000 2.3812 0.0000
2.3812 2.3812 2.3189
0.0000 0.0000 0.0000
```

Values from the calculation:
V   105.2 Å³/cell
Final energy   -0.1951 Ry per atom
Distance to the lowest polymorph of the same formula   603 meV per atom
Magnetic moment   0.00 μB per atom
E_form (uncorrected)   0.539 eV per atom

---

(4)
The following is a DFT calculation (PBE) of crystalline Fe2CuCl at its relaxed geometry.

Structure (POSCAR):
```
Fe2CuCl
1.0
-3.6411 2.2684 3.4813
-1.3339 -1.0011 -4.3900
-1.8865 -1.8730 0.7204
Cl Cu Fe
1 1 2
Cartesian
-1.6102 -1.4370 -1.8348
-2.4875 0.6336 -0.4543
-2.7638 0.1977 2.1009
0.0000 0.0000 0.0000
```

Values from the calculation:
V   55.7 Å³/cell
Final energy   -0.3800 Ry per atom
Distance to the lowest polymorph of the same formula   373 meV per atom
Magnetic moment   1.51 μB per atom
E_form (uncorrected)   0.546 eV per atom